# 1
A plane-wave DFT calculation with PBE was carried out for crystalline SrSc2Mn at its relaxed geometry.

Relative energy among the computed polymorphs = 0.350 eV per atom
DFT formation energy = 0.553 eV per atom
Space-group type = C2/m

Cell lengths 6.4601, 11.1554, 3.2888 Å; angles 90.00, 116.67, 90.00 degrees
Sites, in units of the cell vectors:
Sr 0.0000 0.0000 0.0000
Sr 0.5000 0.5000 0.0000
Sc 0.2500 0.2500 0.5000
Sc 0.2500 0.7500 0.5000
Sc 0.7500 0.2500 0.5000
Sc 0.7500 0.7500 0.5000
Mn 0.0000 0.5000 0.0000
Mn 0.5000 0.0000 0.0000

=====

# 2
A plane-wave DFT calculation with PBE was carried out for crystalline Zn2Cd2F7 at its relaxed geometry.

Relative energy among the computed polymorphs = 0.000 eV per atom
Space-group type = Fd-3m

Cell lengths 7.5441, 7.5441, 7.5441 Å; angles 60.00, 60.00, 60.00 degrees
Sites, in units of the cell vectors:
Zn 0.0000 0.0000 0.0000
Zn 0.0000 0.0000 0.5000
Zn 0.0000 0.5000 0.0000
Zn 0.5000 0.0000 0.0000
Cd 0.0000 0.5000 0.5000
Cd 0.5000 0.0000 0.5000
Cd 0.5000 0.5000 0.0000
Cd 0.5000 0.5000 0.5000
F 0.0812 0.0812 0.6688
F 0.0812 0.6688 0.0812
F 0.0812 0.6688 0.6688
F 0.3312 0.3312 0.9188
F 0.3312 0.9188 0.3312
F 0.3312 0.9188 0.9188
F 0.3750 0.3750 0.3750
F 0.6250 0.6250 0.6250
F 0.6688 0.0812 0.0812
F 0.6688 0.0812 0.6688
F 0.6688 0.6688 0.0812
F 0.9188 0.3312 0.3312
F 0.9188 0.3312 0.9188
F 0.9188 0.9188 0.3312

=====

# 3
A plane-wave DFT calculation with PBE was carried out for crystalline Sc3Zn7Au at its relaxed geometry.

DFT formation energy = -0.189 eV per atom
Space-group type = Cmcm

Cell lengths 9.8961, 9.8961, 12.7645 Å; angles 90.00, 90.00, 161.17 degrees
Sites, in units of the cell vectors:
Sc 0.1187 0.8813 0.5512
Sc 0.1187 0.8813 0.9488
Sc 0.2584 0.7416 0.2500
Sc 0.7416 0.2584 0.7500
Sc 0.8813 0.1187 0.0512
Sc 0.8813 0.1187 0.4488
Zn 0.2641 0.7359 0.5699
Zn 0.2641 0.7359 0.9301
Zn 0.3738 0.6262 0.6507
Zn 0.3738 0.6262 0.8493
Zn 0.4079 0.5921 0.2500
Zn 0.4989 0.5011 0.5936
Zn 0.4989 0.5011 0.9064
Zn 0.5011 0.4989 0.0936
Zn 0.5011 0.4989 0.4064
Zn 0.5921 0.4079 0.7500
Zn 0.6262 0.3738 0.1507
Zn 0.6262 0.3738 0.3493
Zn 0.7359 0.2641 0.0699
Zn 0.7359 0.2641 0.4301
Au 0.0340 0.9660 0.2500
Au 0.9660 0.0340 0.7500

=====

# 4
A plane-wave DFT calculation with PBE was carried out for crystalline RbS at its relaxed geometry.

Uncorrected energy = -3.438 eV per atom
Space-group type = P-6m2

Cell lengths 5.3284, 5.3284, 5.8377 Å; angles 90.00, 90.00, 120.00 degrees
Sites, in units of the cell vectors:
Rb 0.0000 0.0000 0.0000
Rb 0.3333 0.6667 0.5000
S 0.6667 0.3333 0.1843
S 0.6667 0.3333 0.8157

=====

# 5
A plane-wave DFT calculation with PBE was carried out for crystalline Dy5V3Te12 at its relaxed geometry.

Uncorrected energy = -4.894 eV per atom
Space-group type = Ia-3d

Cell lengths 15.2312, 15.2312, 15.2312 Å; angles 109.47, 109.47, 109.47 degrees
Sites, in units of the cell vectors:
Dy 0.0000 0.0000 0.0000
Dy 0.0000 0.0000 0.5000
Dy 0.0000 0.5000 0.0000
Dy 0.0000 0.5000 0.5000
Dy 0.1250 0.7500 0.8750
Dy 0.1250 0.8750 0.2500
Dy 0.2500 0.1250 0.8750
Dy 0.2500 0.6250 0.3750
Dy 0.3750 0.2500 0.6250
Dy 0.3750 0.6250 0.7500
Dy 0.5000 0.0000 0.0000
Dy 0.5000 0.0000 0.5000
Dy 0.5000 0.5000 0.0000
Dy 0.5000 0.5000 0.5000
Dy 0.6250 0.3750 0.2500
Dy 0.6250 0.7500 0.3750
Dy 0.7500 0.3750 0.6250
Dy 0.7500 0.8750 0.1250
Dy 0.8750 0.1250 0.7500
Dy 0.8750 0.2500 0.1250
V 0.1250 0.2500 0.3750
V 0.1250 0.3750 0.7500
V 0.2500 0.3750 0.1250
V 0.2500 0.8750 0.6250
V 0.3750 0.1250 0.2500
V 0.3750 0.7500 0.1250
V 0.6250 0.2500 0.8750
V 0.6250 0.8750 0.7500
V 0.7500 0.1250 0.3750
V 0.7500 0.6250 0.8750
V 0.8750 0.6250 0.2500
V 0.8750 0.7500 0.6250
Te 0.0601 0.2359 0.1223
Te 0.0601 0.3242 0.9378
Te 0.0622 0.6223 0.3864
Te 0.0622 0.9399 0.6758
Te 0.1136 0.7359 0.6758
Te 0.1136 0.8777 0.4378
Te 0.1223 0.0601 0.2359
Te 0.1223 0.5622 0.8864
Te 0.1758 0.2359 0.6136
Te 0.1758 0.4399 0.5622
Te 0.2359 0.1223 0.0601
Te 0.2359 0.6136 0.1758
Te 0.2641 0.3242 0.8864
Te 0.2641 0.4399 0.3777
Te 0.3242 0.8864 0.2641
Te 0.3242 0.9378 0.0601
Te 0.3777 0.2641 0.4399
Te 0.3777 0.6136 0.9378
Te 0.3864 0.0622 0.6223
Te 0.3864 0.8242 0.7641
Te 0.4378 0.1136 0.8777
Te 0.4378 0.8242 0.5601
Te 0.4399 0.3777 0.2641
Te 0.4399 0.5622 0.1758
Te 0.5601 0.4378 0.8242
Te 0.5601 0.6223 0.7359
Te 0.5622 0.1758 0.4399
Te 0.5622 0.8864 0.1223
Te 0.6136 0.1758 0.2359
Te 0.6136 0.9378 0.3777
Te 0.6223 0.3864 0.0622
Te 0.6223 0.7359 0.5601
Te 0.6758 0.0622 0.9399
Te 0.6758 0.1136 0.7359
Te 0.7359 0.5601 0.6223
Te 0.7359 0.6758 0.1136
Te 0.7641 0.3864 0.8242
Te 0.7641 0.8777 0.9399
Te 0.8242 0.5601 0.4378
Te 0.8242 0.7641 0.3864
Te 0.8777 0.4378 0.1136
Te 0.8777 0.9399 0.7641
Te 0.8864 0.1223 0.5622
Te 0.8864 0.2641 0.3242
Te 0.9378 0.0601 0.3242
Te 0.9378 0.3777 0.6136
Te 0.9399 0.6758 0.0622
Te 0.9399 0.7641 0.8777

=====

# 6
A plane-wave DFT calculation with PBE was carried out for crystalline TbErPdAu at its relaxed geometry.

Relative energy among the computed polymorphs = 0.043 eV per atom
DFT formation energy = -0.869 eV per atom
Space-group type = F-43m

Cell lengths 7.0958, 7.0958, 7.0958 Å; angles 90.00, 90.00, 90.00 degrees
Sites, in units of the cell vectors:
Tb 0.0000 0.0000 0.0000
Tb 0.0000 0.5000 0.5000
Tb 0.5000 0.0000 0.5000
Tb 0.5000 0.5000 0.0000
Er 0.0000 0.0000 0.5000
Er 0.0000 0.5000 0.0000
Er 0.5000 0.0000 0.0000
Er 0.5000 0.5000 0.5000
Pd 0.2500 0.2500 0.2500
Pd 0.2500 0.7500 0.7500
Pd 0.7500 0.2500 0.7500
Pd 0.7500 0.7500 0.2500
Au 0.2500 0.2500 0.7500
Au 0.2500 0.7500 0.2500
Au 0.7500 0.2500 0.2500
Au 0.7500 0.7500 0.7500

=====

| no. | Fermi-level density of states (states/eV/f.u.) |
| --- | --- |
| 1 | 7.119 |
| 2 | 0.925 |
| 3 | 7.358 |
| 4 | 0.000 |
| 5 | 10.695 |
| 6 | 3.098 |